# 1
Compound: CoNi3
Source: Alexandria via LeMat-Bulk
Functional: GGA-PBE
Structure: relaxed

**Volume**: 11.03 Å³ per atom
**Energy of formation from the pure elements**: 0.111 eV/atom
**Fermi-level density of states**: 5.9 states/eV/f.u.
**M_tot**: 3.56 Bohr magnetons per cell

The structure in POSCAR format:
```
CoNi3
1.0
0.0000 2.8044 2.8044
2.8044 0.0000 2.8044
2.8044 2.8044 0.0000
Co Ni
1 3
direct
0.0000 0.0000 0.0000
0.2500 0.2500 0.2500
0.5000 0.5000 0.5000
0.7500 0.7500 0.7500
```


# 2
Compound: CoNi2
Source: Alexandria via LeMat-Bulk
Functional: GGA-PBE
Structure: relaxed

**Volume**: 11.61 Å³ per atom
**Energy of formation from the pure elements**: 0.255 eV/atom
**Fermi-level density of states**: 4.7 states/eV/f.u.
**M_tot**: 5.91 Bohr magnetons per cell

The structure in POSCAR format:
```
CoNi2
1.0
-2.7784 2.7784 2.2551
2.7784 -2.7784 2.2551
2.7784 2.7784 -2.2551
Co Ni
2 4
direct
0.2500 0.2500 0.0000
0.7500 0.7500 0.0000
0.1491 0.6491 0.7982
0.3509 0.1491 0.5000
0.6491 0.8509 0.5000
0.8509 0.3509 0.2018
```


# 3
Compound: Co2Ni3
Source: Alexandria via LeMat-Bulk
Functional: GGA-PBE
Structure: relaxed

**Volume**: 10.87 Å³ per atom
**E above lowest polymorph**: 0 meV/atom
**Energy of formation from the pure elements**: -0.004 eV/atom
**Fermi-level density of states**: 4.8 states/eV/f.u.
**M_tot**: 5.23 Bohr magnetons per cell

The structure in POSCAR format:
```
Co2Ni3
1.0
-1.2343 1.2343 8.9228
1.2343 -1.2343 8.9228
1.2343 1.2343 -8.9228
Co Ni
2 3
direct
0.1008 0.1008 0.0000
0.8992 0.8992 0.0000
0.3011 0.3011 0.0000
0.5000 0.5000 0.0000
0.6989 0.6989 0.0000
```


# 4
Compound: Co3Ni
Source: Alexandria via LeMat-Bulk
Functional: GGA-PBE
Structure: relaxed

**Volume**: 10.91 Å³ per atom
**Energy of formation from the pure elements**: -0.009 eV/atom
**Fermi-level density of states**: 3.4 states/eV/f.u.
**M_tot**: 5.71 Bohr magnetons per cell

The structure in POSCAR format:
```
Co3Ni
1.0
2.4976 0.0000 0.0000
-1.2488 2.1629 0.0000
0.0000 0.0000 8.0749
Co Ni
3 1
direct
0.0000 0.0000 0.0000
0.6667 0.3333 0.2487
0.6667 0.3333 0.7513
0.0000 0.0000 0.5000
```


# 5
Compound: Co5Ni4
Source: Alexandria via LeMat-Bulk
Functional: GGA-PBE
Structure: relaxed

**Volume**: 11.12 Å³ per atom
**E above lowest polymorph**: 120 meV/atom
**Energy of formation from the pure elements**: 0.114 eV/atom
**Fermi-level density of states**: 12.2 states/eV/f.u.
**M_tot**: 22.96 Bohr magnetons per cell

The structure in POSCAR format:
```
Co5Ni4
1.0
6.8962 0.0000 0.0000
-3.4481 5.9723 0.0000
0.0000 0.0000 4.8610
Co Ni
10 8
direct
0.0000 0.3351 0.2500
0.0000 0.6649 0.7500
0.3333 0.6667 0.0000
0.3333 0.6667 0.5000
0.3351 0.0000 0.2500
0.3351 0.3351 0.7500
0.6649 0.0000 0.7500
0.6649 0.6649 0.2500
0.6667 0.3333 0.0000
0.6667 0.3333 0.5000
0.0000 0.0000 0.0000
0.0000 0.0000 0.5000
0.0000 0.3327 0.7500
0.0000 0.6673 0.2500
0.3327 0.0000 0.7500
0.3327 0.3327 0.2500
0.6673 0.0000 0.2500
0.6673 0.6673 0.7500
```


# 6
Compound: CoNi2
Source: Alexandria via LeMat-Bulk
Functional: GGA-PBE
Structure: relaxed

**Volume**: 11.30 Å³ per atom
**Energy of formation from the pure elements**: 0.122 eV/atom
**Fermi-level density of states**: 3.2 states/eV/f.u.
**M_tot**: 5.98 Bohr magnetons per cell

The structure in POSCAR format:
```
CoNi2
1.0
-1.2310 1.2310 11.1835
1.2310 -1.2310 11.1835
1.2310 1.2310 -11.1835
Co Ni
2 4
direct
0.3750 0.6250 0.7500
0.6250 0.3750 0.2500
0.0468 0.7968 0.2500
0.2032 0.9532 0.2500
0.7968 0.0468 0.7500
0.9532 0.2032 0.7500
```


# 7
Compound: Co7Ni2
Source: Alexandria via LeMat-Bulk
Functional: GGA-PBE
Structure: relaxed

**Volume**: 10.88 Å³ per atom
**Energy of formation from the pure elements**: 0.005 eV/atom
**Fermi-level density of states**: 9.6 states/eV/f.u.
**M_tot**: 12.46 Bohr magnetons per cell

The structure in POSCAR format:
```
Co7Ni2
1.0
4.3085 0.0000 0.0000
-2.1542 3.7313 0.0000
0.0000 0.0000 6.0890
Co Ni
7 2
direct
0.0000 0.0000 0.0000
0.0000 0.3323 0.6644
0.0000 0.6677 0.3356
0.3323 0.0000 0.6644
0.3323 0.3323 0.3356
0.6677 0.0000 0.3356
0.6677 0.6677 0.6644
0.3333 0.6667 0.0000
0.6667 0.3333 0.0000
```


# 8
Compound: Co2Ni3
Source: Alexandria via LeMat-Bulk
Functional: GGA-PBE
Structure: relaxed

**Volume**: 12.31 Å³ per atom
**E above lowest polymorph**: 360 meV/atom
**Energy of formation from the pure elements**: 0.356 eV/atom
**Fermi-level density of states**: 9.6 states/eV/f.u.
**M_tot**: 5.51 Bohr magnetons per cell

The structure in POSCAR format:
```
Co2Ni3
1.0
3.8555 0.0000 0.0000
-1.9278 3.3390 0.0000
0.0000 0.0000 4.7801
Co Ni
2 3
direct
0.3333 0.6667 0.3577
0.6667 0.3333 0.6423
0.0000 0.0000 0.5000
0.3333 0.6667 0.8647
0.6667 0.3333 0.1353
```


# 9
Compound: CoNi5
Source: Alexandria via LeMat-Bulk
Functional: GGA-PBE
Structure: relaxed

**Volume**: 11.44 Å³ per atom
**Energy of formation from the pure elements**: 0.226 eV/atom
**Fermi-level density of states**: 8.8 states/eV/f.u.
**M_tot**: 4.30 Bohr magnetons per cell

The structure in POSCAR format:
```
CoNi5
1.0
0.0000 3.2495 3.2495
3.2495 0.0000 3.2495
3.2495 3.2495 0.0000
Co Ni
1 5
direct
0.0000 0.0000 0.0000
0.1252 0.6249 0.6249
0.2500 0.2500 0.2500
0.6249 0.1252 0.6249
0.6249 0.6249 0.1252
0.6249 0.6249 0.6249
```


# 10
Compound: Co2Ni
Source: Alexandria via LeMat-Bulk
Functional: GGA-PBE
Structure: relaxed

**Volume**: 11.32 Å³ per atom
**Energy of formation from the pure elements**: 0.166 eV/atom
**Fermi-level density of states**: 4.2 states/eV/f.u.
**M_tot**: 8.16 Bohr magnetons per cell

The structure in POSCAR format:
```
Co2Ni
1.0
-1.2253 1.2253 11.3055
1.2253 -1.2253 11.3055
1.2253 1.2253 -11.3055
Co Ni
4 2
direct
0.2952 0.5452 0.7500
0.4548 0.7048 0.7500
0.5452 0.2952 0.2500
0.7048 0.4548 0.2500
0.1250 0.8750 0.2500
0.8750 0.1250 0.7500
```


# 11
Compound: Co2Ni
Source: Alexandria via LeMat-Bulk
Functional: GGA-PBE
Structure: relaxed

**Volume**: 11.56 Å³ per atom
**Energy of formation from the pure elements**: 0.226 eV/atom
**Fermi-level density of states**: 3.6 states/eV/f.u.
**M_tot**: 8.49 Bohr magnetons per cell

The structure in POSCAR format:
```
Co2Ni
1.0
-2.7663 2.7663 2.2650
2.7663 -2.7663 2.2650
2.7663 2.7663 -2.2650
Co Ni
4 2
direct
0.1452 0.6452 0.7904
0.3548 0.1452 0.5000
0.6452 0.8548 0.5000
0.8548 0.3548 0.2096
0.2500 0.2500 0.0000
0.7500 0.7500 0.0000
```


# 12
Compound: Co5Ni6
Source: Alexandria via LeMat-Bulk
Functional: GGA-PBE
Structure: relaxed

**Volume**: 11.30 Å³ per atom
**E above lowest polymorph**: 0 meV/atom
**Energy of formation from the pure elements**: 0.131 eV/atom
**Fermi-level density of states**: 12.0 states/eV/f.u.
**M_tot**: 12.47 Bohr magnetons per cell

The structure in POSCAR format:
```
Co5Ni6
1.0
3.5464 -4.6200 0.0000
3.5464 4.6200 0.0000
-1.6939 0.0000 3.7937
Co Ni
5 6
direct
0.0000 0.0000 0.0000
0.1323 0.8677 0.5000
0.2725 0.7275 0.0000
0.7275 0.2725 0.0000
0.8677 0.1323 0.5000
0.1703 0.4517 0.3749
0.3119 0.3119 0.8807
0.4517 0.1703 0.3749
0.5483 0.8297 0.6251
0.6881 0.6881 0.1193
0.8297 0.5483 0.6251
```